# 1
Computed, not measured: Np2U3PaP6 after structural relaxation at the PBE level of DFT.

Properties
As for the density of states at the Fermi level: 33.44 states/eV/cell. As for the energy relative to the elements: -22.66 kcal/mol of atoms. Its uncorrected energy is -113.5 eV for the cell shown.

Geometry as POSCAR:
```
Np2U3PaP6
1.0
6.8058 0.0175 0.0070
-3.3861 5.9037 0.0070
-1.1340 -1.9635 6.4484
P U Np Pa
6 3 2 1
Cartesian
3.4119 1.9809 4.8320
0.0064 0.0111 4.8215
2.2793 3.9466 1.6408
-1.1262 1.9768 1.6304
2.2751 0.0124 1.6304
0.0107 3.9452 4.8320
4.5397 0.0170 3.2312
-2.2540 3.9406 3.2312
1.1429 1.9788 3.2312
0.0135 3.9403 0.0070
3.4062 1.9809 0.0070
0.0000 0.0000 0.0000
```

=====

# 2
Computed, not measured: YNp2PaP4 after structural relaxation at the PBE level of DFT.

Properties
As for the density of states at the Fermi level: 19.76 states/eV/cell. As for the energy relative to the elements: -27.03 kcal/mol of atoms. Its uncorrected energy is -72.9 eV for the cell shown.

Geometry as POSCAR:
```
YNp2PaP4
1.0
-3.5908 -1.2429 1.2024
2.9801 -4.8976 3.8370
-0.7322 5.7250 3.7309
Np P Pa Y
2 4 1 1
Cartesian
1.1239 0.4137 3.7839
-2.1615 2.2411 2.4667
2.0605 -2.2391 3.8387
0.1874 3.0665 3.7292
-0.1063 -0.0114 6.2760
-1.2367 -0.4040 2.4944
0.0000 0.0000 0.0000
-0.3054 -3.0702 2.5197
```

=====

# 3
Computed, not measured: ZrNp2PaP4 after structural relaxation at the PBE level of DFT.

Properties
As for the density of states at the Fermi level: 19.28 states/eV/cell. As for the energy relative to the elements: -25.93 kcal/mol of atoms. Its uncorrected energy is -74.6 eV for the cell shown.

Geometry as POSCAR:
```
ZrNp2PaP4
1.0
3.9160 0.0000 0.0000
0.0000 6.7790 0.1210
0.0000 -2.3641 6.3059
P Zr Np Pa
4 1 2 1
Cartesian
1.9580 1.0634 1.5646
1.9580 3.3515 4.8622
0.0000 -0.1387 4.7825
0.0000 4.5536 1.6444
0.0000 0.0000 0.0000
0.0000 2.2074 3.2134
1.9580 -1.1820 3.1529
1.9580 3.3895 0.0605
```

=====

# 4
Computed, not measured: ZrNp3Pa2P6 after structural relaxation at the PBE level of DFT.

Properties
As for the density of states at the Fermi level: 29.20 states/eV/cell. As for the energy relative to the elements: -25.84 kcal/mol of atoms. Its uncorrected energy is -112.3 eV for the cell shown.

Geometry as POSCAR:
```
ZrNp3Pa2P6
1.0
6.8067 -0.0009 0.0002
-3.4025 5.8953 0.0002
-1.1356 -1.9662 6.4026
Zr P Pa Np
1 6 2 3
Cartesian
0.0000 0.0000 0.0000
2.2195 -0.0033 1.5710
2.2960 3.9755 1.5996
3.3807 2.0073 4.8319
-1.1120 1.9208 1.5710
0.0491 3.9314 4.8319
-0.0274 -0.0474 4.8033
0.0116 3.9235 0.0002
3.3927 1.9708 0.0002
-2.2466 3.9167 3.2015
1.1343 1.9641 3.2015
4.5153 0.0114 3.2015
```

=====

# 5
Computed, not measured: Zr2NpPa3P6 after structural relaxation at the PBE level of DFT.

Properties
As for the density of states at the Fermi level: 13.82 states/eV/cell. As for the energy relative to the elements: -29.60 kcal/mol of atoms. Its uncorrected energy is -106.4 eV for the cell shown.

Geometry as POSCAR:
```
Zr2NpPa3P6
1.0
-2.1935 1.2885 -2.9743
-4.5328 -6.2409 0.6392
-2.6536 4.8809 6.6464
Zr P Pa Np
2 6 3 1
Cartesian
-2.7635 -0.2353 1.9361
-6.6163 0.1638 2.3752
-4.3957 1.0075 3.6781
-2.7743 1.9137 0.2999
-1.1693 -1.5111 0.2077
-4.9842 -1.0790 0.6332
-8.2105 1.4396 4.1035
-6.6056 -1.9852 4.0114
-4.3657 3.2957 2.0722
-5.0141 -3.3672 2.2391
-3.3631 -2.4762 -1.1675
-1.0967 0.6442 -1.4872
```

=====

# 6
Computed, not measured: ZrNpPa2P4 after structural relaxation at the PBE level of DFT.

Properties
As for the density of states at the Fermi level: 11.05 states/eV/cell. As for the energy relative to the elements: -28.61 kcal/mol of atoms. Its uncorrected energy is -72.0 eV for the cell shown.

Geometry as POSCAR:
```
ZrNpPa2P4
1.0
-0.2335 -1.6621 -3.5536
1.7659 -5.9450 2.6646
-6.7144 0.6406 0.1415
Np Pa P Zr
1 2 4 1
Cartesian
0.7662 -3.8036 -0.4445
-2.4742 -2.6522 1.4031
-3.4739 -0.5108 -1.7061
-1.3031 -2.1180 -1.0970
-4.6484 -0.9838 0.7655
-0.3001 -4.3206 2.0406
-3.8789 -4.8485 0.3494
0.0000 0.0000 0.0000
```

=====

# 7
Computed, not measured: ZrNp4Pa3P8 after structural relaxation at the PBE level of DFT.

Properties
As for the density of states at the Fermi level: 40.93 states/eV/cell. As for the energy relative to the elements: -25.60 kcal/mol of atoms. Its uncorrected energy is -149.8 eV for the cell shown.

Geometry as POSCAR:
```
ZrNp4Pa3P8
1.0
-0.3247 -5.1018 6.0160
7.1786 -2.6107 -1.8266
-1.2171 7.6946 1.2797
Pa P Zr Np
3 8 1 4
Cartesian
2.8184 -0.0090 2.7345
2.9808 2.5419 -0.2735
3.4270 -3.8563 2.0947
0.3624 3.1721 5.3564
0.9576 -0.5909 4.7306
5.1085 -5.7969 3.1865
0.5283 5.7789 2.2825
4.6792 0.5729 0.7384
1.0893 1.9171 1.6846
4.5476 -1.9351 3.7844
5.2744 -3.1900 0.1126
3.5893 -1.3054 -0.9133
0.0000 0.0000 0.0000
-0.6085 3.8473 0.6398
-0.7709 1.2964 3.6478
-0.1623 -2.5509 3.0080
```

=====

# 8
Computed, not measured: NpP2Pb after structural relaxation at the PBE level of DFT.

Properties
The energy above the most stable polymorph in this dataset is 0 meV/atom. As for the density of states at the Fermi level: 9.26 states/eV/cell. As for the energy relative to the elements: -7.87 kcal/mol of atoms. Its uncorrected energy is -28.8 eV for the cell shown.

Geometry as POSCAR:
```
NpP2Pb
1.0
4.0710 0.0000 0.0000
2.0355 3.5256 0.0000
2.0355 1.1752 6.8417
P Pb Np
2 1 1
Cartesian
6.1065 3.5256 5.4110
2.0355 1.1752 1.4307
4.0710 2.3504 3.4209
0.0000 0.0000 0.0000
```

=====

# 9
Computed, not measured: NpP2Pb after structural relaxation at the PBE level of DFT.

Properties
The energy above the most stable polymorph in this dataset is 49 meV/atom. As for the density of states at the Fermi level: 9.14 states/eV/cell. As for the energy relative to the elements: -6.73 kcal/mol of atoms. Its uncorrected energy is -28.6 eV for the cell shown.

Geometry as POSCAR:
```
NpP2Pb
1.0
-2.4738 0.2945 3.3063
-1.2409 -3.4241 1.9683
4.1007 -0.6993 5.7223
Np P Pb
1 2 1
Cartesian
1.6127 -2.7864 9.2300
-0.2179 -0.9775 2.5158
2.9585 -0.7729 4.8742
0.3265 -1.9058 5.5975
```

=====

# 10
Computed, not measured: NpP2Pd7Pb2 after structural relaxation at the PBE level of DFT.

Properties
As for the density of states at the Fermi level: 14.78 states/eV/cell. As for the energy relative to the elements: -7.24 kcal/mol of atoms. Its uncorrected energy is -71.3 eV for the cell shown.

Geometry as POSCAR:
```
NpP2Pd7Pb2
1.0
-3.0841 2.7335 -0.2000
-0.2421 -0.5340 -4.0842
-10.0624 -9.2341 0.4056
Pb Pd P Np
2 7 2 1
Cartesian
-6.7669 -1.5270 -3.6667
-6.6217 -5.5075 -0.2119
-3.1989 -0.7524 -3.8799
-5.5103 -3.0408 -1.4738
-4.6161 0.8770 -1.9430
-7.8783 -3.9938 -2.4047
-1.6631 1.0998 -2.1421
-8.7726 -7.9115 -1.9355
-10.1897 -6.2822 0.0013
-9.5002 -5.6461 -2.2014
-3.8884 -1.3884 -1.6771
0.0000 0.0000 0.0000
```

=====

# 11
Computed, not measured: NpP2Pt7Pb2 after structural relaxation at the PBE level of DFT.

Properties
As for the density of states at the Fermi level: 11.62 states/eV/cell. As for the energy relative to the elements: -10.47 kcal/mol of atoms. Its uncorrected energy is -78.9 eV for the cell shown.

Geometry as POSCAR:
```
NpP2Pt7Pb2
1.0
3.9939 -0.0026 -0.0023
0.0023 3.9939 -0.0023
2.0098 2.0074 15.2522
P Pt Pb Np
2 7 2 1
Cartesian
4.0059 4.0010 11.6771
2.0001 1.9977 3.5706
4.0009 3.9961 9.4062
1.9989 3.9931 2.2594
3.9955 1.9941 2.2594
4.0071 2.0057 12.9882
1.9981 1.9957 -0.0023
2.0051 2.0026 5.8414
2.0105 4.0046 12.9882
2.0044 2.0019 8.7937
4.0016 3.9968 6.4540
0.0000 0.0000 0.0000
```